## TbSm5Dy2Th (GGA-PBE)

Data for a relaxed TbSm5Dy2Th crystal.

Computed properties:
E_form: 0.16 eV/atom
Space group: Cmc2_1, No. 36

Cell lengths 10.570, 10.570, 10.531 Å; angles 90.00, 90.00, 148.97 degrees
Atoms (fractional coordinates):
Tb1 0.092 0.908 0.500
Tb2 0.908 0.092 0.000
Sm1 0.021 0.979 0.789
Sm2 0.112 0.888 0.073
Sm3 0.205 0.795 0.752
Sm4 0.224 0.776 0.360
Sm5 0.485 0.515 0.067
Sm6 0.515 0.485 0.567
Sm7 0.776 0.224 0.860
Sm8 0.795 0.205 0.252
Sm9 0.888 0.112 0.573
Sm10 0.979 0.021 0.289
Dy1 0.385 0.615 0.362
Dy2 0.387 0.613 0.782
Dy3 0.613 0.387 0.282
Dy4 0.615 0.385 0.862
Th1 0.301 0.699 0.059
Th2 0.699 0.301 0.559


## Pr2Zn5Ni4 (GGA-PBE)

Data for a relaxed Pr2Zn5Ni4 crystal.

Computed properties:
E_form: -0.31 eV/atom
Space group: Fmmm, No. 69

Cell lengths 9.049, 8.224, 5.285 Å; angles 80.95, 63.83, 35.22 degrees
Atoms (fractional coordinates):
Pr1 0.142 0.142 0.858
Pr2 0.858 0.858 0.142
Zn1 0.000 0.000 0.500
Zn2 0.250 0.250 0.250
Zn3 0.500 0.500 0.000
Zn4 0.500 0.500 0.500
Zn5 0.750 0.750 0.750
Ni1 0.217 0.526 0.474
Ni2 0.474 0.783 0.217
Ni3 0.526 0.217 0.783
Ni4 0.783 0.474 0.526


## YGa4Cu2Ni (GGA-PBE)

Data for a relaxed YGa4Cu2Ni crystal.

Computed properties:
E_form: -0.34 eV/atom
Space group: R-3m, No. 166

Cell lengths 8.998, 8.998, 8.998 Å; angles 26.59, 26.59, 26.59 degrees
Atoms (fractional coordinates):
Y1 0.000 0.000 0.000
Ga1 0.132 0.132 0.132
Ga2 0.402 0.402 0.402
Ga3 0.598 0.598 0.598
Ga4 0.868 0.868 0.868
Cu1 0.238 0.238 0.238
Cu2 0.762 0.762 0.762
Ni1 0.500 0.500 0.500


## FeRh2Se (GGA-PBE)

Data for a relaxed FeRh2Se crystal.

Computed properties:
Energy relative to the elements, uncorrected: 0.021 eV per atom
Space group: Pmmm, No. 47

Cell lengths 3.004, 3.434, 5.664 Å; angles 90.00, 90.00, 90.00 degrees
Atoms (fractional coordinates):
Fe1 0.000 0.000 0.000
Rh1 0.500 0.500 0.239
Rh2 0.500 0.500 0.761
Se1 0.000 0.000 0.500


## PmBeO3 (GGA-PBE)

Data for a relaxed PmBeO3 crystal.

Computed properties:
Energy relative to the elements, uncorrected: -2.571 eV per atom
Space group: P1, No. 1

Cell lengths 4.458, 5.331, 5.364 Å; angles 119.61, 93.71, 92.30 degrees
Atoms (fractional coordinates):
Pm1 0.000 0.000 0.000
Pm2 0.499 0.360 0.639
Be1 0.099 0.610 0.347
Be2 0.599 0.705 0.250
O1 0.198 0.948 0.579
O2 0.382 0.429 0.186
O3 0.488 0.856 0.063
O4 0.693 0.936 0.589
O5 0.894 0.572 0.065
O6 0.974 0.418 0.484


## LiPrNb4N8 (GGA-PBE)

Data for a relaxed LiPrNb4N8 crystal.

Computed properties:
Energy relative to the elements, uncorrected: -0.776 eV per atom
Space group: R3m, No. 160

Cell lengths 6.461, 6.461, 6.461 Å; angles 59.45, 59.45, 59.45 degrees
Atoms (fractional coordinates):
Li1 0.000 0.000 0.000
Pr1 0.619 0.619 0.619
Nb1 0.376 0.376 0.376
Nb2 0.515 0.996 0.996
Nb3 0.996 0.515 0.996
Nb4 0.996 0.996 0.515
N1 0.184 0.760 0.760
N2 0.240 0.240 0.240
N3 0.261 0.261 0.749
N4 0.261 0.749 0.261
N5 0.749 0.261 0.261
N6 0.760 0.184 0.760
N7 0.760 0.760 0.184
N8 0.764 0.764 0.764


## LiNd2SmHg4 (GGA-PBE)

Data for a relaxed LiNd2SmHg4 crystal.

Computed properties:
E_form: -0.45 eV/atom
Space group: R-3m, No. 166

Cell lengths 9.300, 9.300, 9.300 Å; angles 32.85, 32.85, 32.85 degrees
Atoms (fractional coordinates):
Li1 0.000 0.000 0.000
Nd1 0.255 0.255 0.255
Nd2 0.745 0.745 0.745
Sm1 0.500 0.500 0.500
Hg1 0.123 0.123 0.123
Hg2 0.374 0.374 0.374
Hg3 0.626 0.626 0.626
Hg4 0.877 0.877 0.877


## LuNbPt2 (GGA-PBE)

Data for a relaxed LuNbPt2 crystal.

Computed properties:
E_form: -0.80 eV/atom
Space group: P4/mmm, No. 123

Cell lengths 3.111, 3.111, 7.539 Å; angles 90.00, 90.00, 90.00 degrees
Atoms (fractional coordinates):
Lu1 0.000 0.000 0.000
Nb1 0.000 0.000 0.500
Pt1 0.500 0.500 0.260
Pt2 0.500 0.500 0.740


## CsLiTl2Br4 (GGA-PBE)

Data for a relaxed CsLiTl2Br4 crystal.

Computed properties:
Energy relative to the elements, uncorrected: -1.180 eV per atom
Space group: C2/c, No. 15

Cell lengths 9.545, 9.545, 9.498 Å; angles 119.79, 119.79, 89.88 degrees
Atoms (fractional coordinates):
Cs1 0.000 0.000 0.000
Cs2 0.000 0.000 0.500
Li1 0.000 0.500 0.000
Li2 0.500 0.000 0.500
Tl1 0.000 0.500 0.500
Tl2 0.500 0.000 0.000
Tl3 0.500 0.500 0.000
Tl4 0.500 0.500 0.500
Br1 0.205 0.323 0.014
Br2 0.257 0.741 0.991
Br3 0.259 0.743 0.509
Br4 0.323 0.205 0.514
Br5 0.677 0.795 0.486
Br6 0.741 0.257 0.491
Br7 0.743 0.259 0.009
Br8 0.795 0.677 0.986


## NiAs2SeN (GGA-PBE)

Data for a relaxed NiAs2SeN crystal.

Computed properties:
Energy relative to the elements, uncorrected: 1.393 eV per atom
Space group: P4/mmm, No. 123

Cell lengths 4.563, 4.563, 4.816 Å; angles 90.00, 90.00, 90.00 degrees
Atoms (fractional coordinates):
Ni1 0.000 0.000 0.000
As1 0.000 0.500 0.000
As2 0.500 0.000 0.000
Se1 0.000 0.000 0.500
N1 0.500 0.500 0.500


## NaAgAu2F8 (GGA-PBE)

Data for a relaxed NaAgAu2F8 crystal.

Computed properties:
Energy relative to the elements, uncorrected: -1.365 eV per atom
Space group: I-4, No. 82

Cell lengths 6.922, 6.922, 6.922 Å; angles 130.44, 130.44, 72.70 degrees
Atoms (fractional coordinates):
Na1 0.000 0.000 0.000
Ag1 0.750 0.250 0.500
Au1 0.250 0.750 0.500
Au2 0.500 0.500 0.000
F1 0.097 0.435 0.042
F2 0.193 0.649 0.851
F3 0.351 0.201 0.544
F4 0.392 0.054 0.958
F5 0.565 0.608 0.662
F6 0.657 0.807 0.456
F7 0.799 0.343 0.149
F8 0.946 0.903 0.338


## SmErSiS (GGA-PBE)

Data for a relaxed SmErSiS crystal.

Computed properties:
Energy relative to the elements, uncorrected: -1.353 eV per atom
Space group: R3m, No. 160

Cell lengths 7.091, 7.091, 7.091 Å; angles 33.13, 33.13, 33.13 degrees
Atoms (fractional coordinates):
Sm1 0.000 0.000 0.000
Er1 0.499 0.499 0.499
Si1 0.752 0.752 0.752
S1 0.246 0.246 0.246


## CeFeSi3Ir (GGA-PBE)

Data for a relaxed CeFeSi3Ir crystal.

Computed properties:
Energy relative to the elements, uncorrected: -0.443 eV per atom
Space group: Cmcm, No. 63

Cell lengths 6.632, 6.632, 5.492 Å; angles 90.00, 90.00, 114.72 degrees
Atoms (fractional coordinates):
Ce1 0.240 0.760 0.750
Ce2 0.760 0.240 0.250
Fe1 0.044 0.956 0.250
Fe2 0.956 0.044 0.750
Si1 0.230 0.770 0.250
Si2 0.244 0.244 0.000
Si3 0.244 0.244 0.500
Si4 0.756 0.756 0.000
Si5 0.756 0.756 0.500
Si6 0.770 0.230 0.750
Ir1 0.428 0.572 0.250
Ir2 0.572 0.428 0.750


## GaHRh3 (GGA-PBE)

Data for a relaxed GaHRh3 crystal.

Computed properties:
Space group: I4cm, No. 108

Cell lengths 5.624, 5.624, 5.624 Å; angles 123.14, 123.14, 84.64 degrees
Atoms (fractional coordinates):
Ga1 0.000 0.500 0.500
Ga2 0.500 0.000 0.500
H1 0.233 0.233 0.000
H2 0.733 0.733 0.000
Rh1 0.057 0.557 0.113
Rh2 0.444 0.944 0.887
Rh3 0.498 0.498 0.000
Rh4 0.557 0.444 0.500
Rh5 0.944 0.057 0.500
Rh6 0.998 0.998 0.000


## Mn2CrNi (GGA-PBE)

Data for a relaxed Mn2CrNi crystal.

Computed properties:
E_form: 0.11 eV/atom
Space group: C2/m, No. 12

Cell lengths 4.304, 4.304, 4.417 Å; angles 97.93, 97.93, 33.22 degrees
Atoms (fractional coordinates):
Mn1 0.247 0.247 0.243
Mn2 0.753 0.753 0.757
Cr1 0.000 0.000 0.500
Ni1 0.500 0.500 0.000


## Ce3Co2Ge4 (GGA-PBE)

Data for a relaxed Ce3Co2Ge4 crystal.

Computed properties:
E_form: -0.66 eV/atom
Space group: C2/m, No. 12

Cell lengths 5.853, 5.853, 8.127 Å; angles 106.49, 106.49, 41.74 degrees
Atoms (fractional coordinates):
Ce1 0.000 0.000 0.000
Ce2 0.381 0.381 0.317
Ce3 0.619 0.619 0.683
Co1 0.299 0.299 0.627
Co2 0.701 0.701 0.373
Ge1 0.101 0.101 0.390
Ge2 0.286 0.286 0.920
Ge3 0.714 0.714 0.080
Ge4 0.899 0.899 0.610


## BaSiTeW2 (GGA-PBE)

Data for a relaxed BaSiTeW2 crystal.

Computed properties:
Energy relative to the elements, uncorrected: 1.965 eV per atom
Space group: P4/mmm, No. 123

Cell lengths 4.973, 4.973, 6.287 Å; angles 90.00, 90.00, 90.00 degrees
Atoms (fractional coordinates):
Ba1 0.000 0.000 0.000
Si1 0.500 0.500 0.000
Te1 0.000 0.000 0.500
W1 0.000 0.500 0.500
W2 0.500 0.000 0.500


## SbPIrO2 (GGA-PBE)

Data for a relaxed SbPIrO2 crystal.

Computed properties:
Energy relative to the elements, uncorrected: 0.207 eV per atom
Space group: P4/mmm, No. 123

Cell lengths 3.801, 3.801, 5.582 Å; angles 90.00, 90.00, 90.00 degrees
Atoms (fractional coordinates):
Sb1 0.000 0.000 0.000
P1 0.000 0.000 0.500
Ir1 0.500 0.500 0.500
O1 0.000 0.500 0.000
O2 0.500 0.000 0.000


## K2UGaSe5 (GGA-PBE)

Data for a relaxed K2UGaSe5 crystal.

Computed properties:
Energy relative to the elements, uncorrected: -1.036 eV per atom
Space group: Cmc2_1, No. 36

Cell lengths 9.930, 9.930, 14.223 Å; angles 90.00, 90.00, 155.86 degrees
Atoms (fractional coordinates):
K1 0.116 0.884 0.500
K2 0.121 0.879 0.148
K3 0.879 0.121 0.648
K4 0.884 0.116 0.000
U1 0.205 0.795 0.845
U2 0.795 0.205 0.345
Ga1 0.434 0.566 0.240
Ga2 0.566 0.434 0.740
Se1 0.057 0.943 0.846
Se2 0.298 0.702 0.474
Se3 0.305 0.695 0.208
Se4 0.337 0.663 0.827
Se5 0.494 0.506 0.101
Se6 0.506 0.494 0.601
Se7 0.663 0.337 0.327
Se8 0.695 0.305 0.708
Se9 0.702 0.298 0.974
Se10 0.943 0.057 0.346


## RbNd2B2S6 (GGA-PBE)

Data for a relaxed RbNd2B2S6 crystal.

Computed properties:
Energy relative to the elements, uncorrected: -1.077 eV per atom
Space group: P-1, No. 2

Cell lengths 7.204, 7.471, 7.543 Å; angles 115.02, 90.06, 118.74 degrees
Atoms (fractional coordinates):
Rb1 0.000 0.000 0.000
Nd1 0.330 0.660 0.670
Nd2 0.670 0.340 0.330
B1 0.349 0.699 0.257
B2 0.651 0.301 0.743
S1 0.104 0.643 0.349
S2 0.425 0.852 0.107
S3 0.462 0.358 0.652
S4 0.538 0.642 0.348
S5 0.575 0.148 0.893
S6 0.896 0.357 0.651


## Ac2Pr3In3 (GGA-PBE)

Data for a relaxed Ac2Pr3In3 crystal.

Computed properties:
E_form: -0.31 eV/atom
Space group: Pmmm, No. 47

Cell lengths 5.185, 5.228, 9.769 Å; angles 90.00, 90.00, 90.00 degrees
Atoms (fractional coordinates):
Ac1 0.000 0.000 0.242
Ac2 0.000 0.000 0.758
Pr1 0.500 0.000 0.500
Pr2 0.500 0.500 0.225
Pr3 0.500 0.500 0.775
In1 0.000 0.500 0.000
In2 0.000 0.500 0.500
In3 0.500 0.000 0.000


## TbCd5Hg8 (GGA-PBE)

Data for a relaxed TbCd5Hg8 crystal.

Computed properties:
E_form: -0.05 eV/atom
Space group: I-4, No. 82

Cell lengths 7.697, 7.697, 7.697 Å; angles 109.38, 109.38, 109.65 degrees
Atoms (fractional coordinates):
Tb1 0.000 0.000 0.000
Cd1 0.090 0.498 0.864
Cd2 0.250 0.750 0.500
Cd3 0.502 0.367 0.592
Cd4 0.633 0.226 0.136
Cd5 0.774 0.910 0.408
Hg1 0.058 0.302 0.431
Hg2 0.247 0.147 0.767
Hg3 0.373 0.942 0.244
Hg4 0.380 0.480 0.233
Hg5 0.520 0.753 0.900
Hg6 0.698 0.129 0.756
Hg7 0.853 0.620 0.100
Hg8 0.871 0.627 0.569


## Sm2DyCu3 (GGA-PBE)

Data for a relaxed Sm2DyCu3 crystal.

Computed properties:
E_form: -0.20 eV/atom
Space group: P-3m1, No. 164

Cell lengths 4.988, 4.988, 6.085 Å; angles 90.00, 90.00, 120.00 degrees
Atoms (fractional coordinates):
Sm1 0.333 0.667 0.170
Sm2 0.667 0.333 0.830
Dy1 0.000 0.000 0.500
Cu1 0.000 0.000 0.000
Cu2 0.333 0.667 0.662
Cu3 0.667 0.333 0.338


| no. | magnetization (μB/f.u.) | VASP energy (eV/cell) | calculated density (g/cm3) |
| --- | --- | --- | --- |
| 1 | 0.00 | -86.9 | 8.04 |
| 2 | 0.00 | -42.5 | 7.48 |
| 3 | 0.00 | -35.3 | 7.15 |
| 4 | 3.75 | -26.6 | 9.68 |
| 5 | 0.42 | -72.4 | 6.09 |
| 6 | 0.00 | -124.4 | 5.57 |
| 7 | 0.00 | -21.0 | 9.85 |
| 8 | 0.00 | -29.9 | 14.98 |
| 9 | 0.00 | -47.3 | 4.68 |
| 10 | 2.53 | -19.9 | 4.99 |
| 11 | 0.00 | -42.1 | 5.99 |
| 12 | 0.00 | -24.2 | 6.62 |
| 13 | 1.10 | -84.4 | 7.15 |
| 14 | 0.00 | -59.7 | 10.57 |
| 15 | 1.53 | -33.3 | 8.26 |
| 16 | 0.73 | -56.5 | 7.79 |
| 17 | 0.00 | -26.6 | 7.06 |
| 18 | 1.53 | -27.3 | 7.76 |
| 19 | 1.03 | -86.5 | 4.52 |
| 20 | 0.00 | -60.5 | 3.13 |
| 21 | 0.00 | -33.2 | 7.66 |
| 22 | 0.00 | -12.4 | 11.00 |
| 23 | 0.00 | -27.5 | 8.28 |